# GGA-PBEsol InOsPtSe2, optimized geometry
# total magnetic moment: 0.49 μB per atom
# formation energy without anion corrections: 2.0566 eV/atom
# energy: -19.58 eV/cell
data_InOsPtSe2
_chemical_formula_sum 'In1 Os1 Pt1 Se2'
_cell_length_a 4.946
_cell_length_b 4.946
_cell_length_c 5.008
_cell_angle_alpha 90.00
_cell_angle_beta 90.00
_cell_angle_gamma 90.00
_space_group_name_H-M_alt 'P 4/m m m'
_space_group_IT_number 123
_space_group_name_Hall '-P 4 2'
loop_
_atom_site_label
_atom_site_fract_x
_atom_site_fract_y
_atom_site_fract_z
In1 0.000 0.000 0.000
Os1 0.000 0.000 0.500
Pt1 0.500 0.500 0.500
Se1 0.000 0.500 0.000